a.
Entry from Alexandria via LeMat-Bulk: a relaxed structure of Re2TeP (GGA-PBE).

## Properties
Theoretical density   12.96 Mg/m³
Total magnetic moment   0.000 Bohr magnetons per cell

Cell lengths 3.1257, 5.0961, 8.5452 Å; angles 90.00, 90.00, 90.00 degrees
Last column: nearest neighbours and their distance in Å.
Space group Cmmm (No. 65)
Asymmetric unit:
1 Re 0.0000 0.0000 0.2002 [4 per cell]  2 P 2.32
2 Te 0.0000 0.5000 0.5000 [2 per cell]  6 Te 2.99-3.13, 4 Re 3.00
3 P 0.0000 0.5000 0.0000 [2 per cell]  4 Re 2.32

b.
Entry from Alexandria via LeMat-Bulk: a relaxed structure of Re2TeP (GGA-PBE).

## Properties
Theoretical density   12.60 Mg/m³
Total magnetic moment   0.000 Bohr magnetons per cell

Cell lengths 8.2770, 3.1248, 5.5490 Å; angles 90.00, 102.70, 90.00 degrees
Last column: nearest neighbours and their distance in Å.
Space group Cm (No. 8)
Asymmetric unit:
1 Re 0.0000 0.0000 0.0000 [2 per cell]  2 P 2.39
2 Re 0.2461 0.5000 0.3433 [2 per cell]  3 P 2.34-2.39
3 Te 0.2420 0.0000 0.7492 [2 per cell]  5 Re 2.68-2.76
4 P 0.4585 0.0000 0.3062 [2 per cell]  5 Re 2.34-2.39

c.
Entry from Alexandria via LeMat-Bulk: a relaxed structure of Re2TeP (GGA-PBE).

## Properties
Theoretical density   14.10 Mg/m³
Total magnetic moment   0.000 Bohr magnetons per cell

Cell lengths 4.4373, 4.4373, 3.1764 Å; angles 90.00, 90.00, 90.00 degrees
Last column: nearest neighbours and their distance in Å.
Space group P4/mmm (No. 123)
Asymmetric unit:
1 Re 0.0000 0.5000 0.0000 [2 per cell]  4 Te 2.73, 4 P 2.73
2 Te 0.0000 0.0000 0.5000 [1 per cell]  8 Re 2.73
3 P 0.5000 0.5000 0.5000 [1 per cell]  8 Re 2.73

d.
Entry from Alexandria via LeMat-Bulk: a relaxed structure of Re2TeP (GGA-PBE).

## Properties
Theoretical density   13.31 Mg/m³
Total magnetic moment   0.000 Bohr magnetons per cell

Cell lengths 3.1654, 3.9352, 10.6343 Å; angles 90.00, 90.00, 90.00 degrees
Last column: nearest neighbours and their distance in Å.
Space group Imm2 (No. 44)
Asymmetric unit:
1 Re 0.0000 0.0000 0.0000 [2 per cell]  2 P 2.37
2 Re 0.0000 0.5000 0.2214 [2 per cell]  4 P 2.59, 2 Te 2.79
3 Te 0.0000 0.0000 0.4081 [2 per cell]  6 Re 2.71-2.79, 2 P 3.03
4 P 0.0000 0.5000 0.6657 [2 per cell]  6 Re 2.37-2.59

b is the most stable structure; the next one sits 34.0 kJ/mol of atoms above it.

a.
Entry from Alexandria via LeMat-Bulk: a relaxed structure of Re2TeP (GGA-PBE).

## Properties
Theoretical density   13.44 Mg/m³
Total magnetic moment   0.000 Bohr magnetons per cell

Cell lengths 4.1304, 4.1304, 7.6886 Å; angles 90.00, 90.00, 90.00 degrees
Last column: nearest neighbours and their distance in Å.
Space group I-4m2 (No. 119)
Asymmetric unit:
1 Re 0.0000 0.0000 0.0000 [2 per cell]  4 Re 2.82, 4 Te 2.82, 4 P 2.92
2 Re 0.0000 0.5000 0.2500 [2 per cell]  4 Re 2.82, 4 P 2.82, 4 Te 2.92
3 Te 0.0000 0.5000 0.7500 [2 per cell]  8 Re 2.82-2.92, 4 P 2.82
4 P 0.0000 0.0000 0.5000 [2 per cell]  8 Re 2.82-2.92, 4 Te 2.82

b.
Entry from Alexandria via LeMat-Bulk: a relaxed structure of Re2TeP (GGA-PBE).

## Properties
Theoretical density   12.96 Mg/m³
Total magnetic moment   0.000 Bohr magnetons per cell

Cell lengths 3.1330, 4.5155, 4.8083 Å; angles 90.00, 90.00, 90.00 degrees
Last column: nearest neighbours and their distance in Å.
Space group Pmm2 (No. 25)
Asymmetric unit:
1 Re 0.0000 0.0000 0.0000 [1 per cell]  2 P 2.38
2 Re 0.5000 0.5000 0.1916 [1 per cell]  2 P 2.42
3 Te 0.0000 0.5000 0.6887 [1 per cell]  6 Re 2.71-2.88
4 P 0.5000 0.0000 0.3719 [1 per cell]  4 Re 2.38-2.42

b is the most stable structure; the next one sits 61.1 kJ/mol of atoms above it.

a.
Entry from Alexandria via LeMat-Bulk: a relaxed structure of Re2TeP (GGA-PBE).

## Properties
Theoretical density   12.61 Mg/m³
Total magnetic moment   0.000 Bohr magnetons per cell

Cell lengths 5.1667, 8.8768, 3.9840 Å; angles 90.00, 130.08, 90.00 degrees
Last column: nearest neighbours and their distance in Å.
Space group C2/m (No. 12)
Asymmetric unit:
1 Re 0.2500 0.2500 0.0000 [4 per cell]  2 Re 2.58, 2 Te 2.69, 2 P 2.69
2 Te 0.0000 0.0000 0.5000 [2 per cell]  2 P 2.58, 4 Re 2.69
3 P 0.0000 0.5000 0.5000 [2 per cell]  2 Te 2.58, 4 Re 2.69

b.
Entry from Alexandria via LeMat-Bulk: a relaxed structure of Re2TeP (GGA-PBE).

## Properties
Theoretical density   12.21 Mg/m³
Total magnetic moment   0.000 Bohr magnetons per cell

Cell lengths 3.0200, 3.0200, 7.9175 Å; angles 90.00, 90.00, 90.00 degrees
Last column: nearest neighbours and their distance in Å.
Space group P4mm (No. 99)
Asymmetric unit:
1 Re 0.0000 0.0000 0.0000 [1 per cell]  4 P 2.49
2 Re 0.5000 0.5000 0.2344 [1 per cell]  4 Te 2.76, 8 Re 2.83-3.02
3 Te 0.0000 0.0000 0.4561 [1 per cell]  4 Re 2.76, 4 Te 3.02
4 P 0.5000 0.5000 0.8382 [1 per cell]  4 Re 2.49

b is the most stable structure; the next one sits 65.7 kJ/mol of atoms above it.

a.
Entry from Alexandria via LeMat-Bulk: a relaxed structure of Re2TeP (GGA-PBE).

## Properties
Theoretical density   11.78 Mg/m³
Total magnetic moment   0.000 Bohr magnetons per cell

Cell lengths 3.0125, 5.0238, 9.8880 Å; angles 90.00, 90.00, 90.00 degrees
Last column: nearest neighbours and their distance in Å.
Space group Cmm2 (No. 35)
Asymmetric unit:
1 Re 0.0000 0.0000 0.0000 [2 per cell]  2 P 2.40, 2 Re 2.67
2 Re 0.0000 0.5000 0.2235 [2 per cell]  6 Re 2.67-2.93, 2 Te 2.81
3 Te 0.0000 0.0000 0.4631 [2 per cell]  2 Re 2.81, 6 Te 2.93-3.01
4 P 0.0000 0.5000 0.8111 [2 per cell]  2 Re 2.40

b.
Entry from Alexandria via LeMat-Bulk: a relaxed structure of Re2TeP (GGA-PBE).

## Properties
Theoretical density   13.11 Mg/m³
Total magnetic moment   0.000 Bohr magnetons per cell

Cell lengths 3.1033, 4.1818, 5.1828 Å; angles 90.00, 90.00, 90.00 degrees
Last column: nearest neighbours and their distance in Å.
Space group Pmmm (No. 47)
Asymmetric unit:
1 Re 0.0000 0.0000 0.0000 [1 per cell]  4 P 2.60
2 Re 0.5000 0.0000 0.5000 [1 per cell]  4 Te 2.60
3 Te 0.0000 0.5000 0.5000 [1 per cell]  4 Re 2.60
4 P 0.5000 0.5000 0.0000 [1 per cell]  4 Re 2.60

c.
Entry from Alexandria via LeMat-Bulk: a relaxed structure of Re2TeP (GGA-PBE).

## Properties
Theoretical density   13.60 Mg/m³
Total magnetic moment   0.000 Bohr magnetons per cell

Cell lengths 3.1005, 3.1005, 23.3660 Å; angles 90.00, 90.00, 120.00 degrees
Last column: nearest neighbours and their distance in Å.
Space group R-3m (No. 166, hexagonal axes)
Asymmetric unit:
1 Re 0.0000 0.0000 0.2404 [6 per cell]  3 P 2.48
2 Te 0.0000 0.0000 0.0000 [3 per cell]  6 Re 2.81, 6 Te 3.10
3 P 0.0000 0.0000 0.5000 [3 per cell]  6 Re 2.48

c is the most stable structure; the next one sits 18.6 kJ/mol of atoms above it.

a.
Entry from Alexandria via LeMat-Bulk: a relaxed structure of Re2TeP (GGA-PBE).

## Properties
Theoretical density   14.12 Mg/m³
Total magnetic moment   0.000 Bohr magnetons per cell

Cell lengths 3.1147, 3.1147, 6.4382 Å; angles 90.00, 90.00, 90.00 degrees
Last column: nearest neighbours and their distance in Å.
Space group P4/mmm (No. 123)
Asymmetric unit:
1 Re 0.0000 0.0000 0.2142 [2 per cell]  4 P 2.60, 1 Re 2.76, 4 Te 2.87
2 Te 0.5000 0.5000 0.5000 [1 per cell]  8 Re 2.87, 4 Te 3.11
3 P 0.5000 0.5000 0.0000 [1 per cell]  8 Re 2.60

b.
Entry from Alexandria via LeMat-Bulk: a relaxed structure of Re2TeP (GGA-PBE).

## Properties
Theoretical density   12.64 Mg/m³
Total magnetic moment   0.000 Bohr magnetons per cell

Cell lengths 7.4794, 3.1302, 6.1066 Å; angles 90.00, 102.66, 90.00 degrees
Last column: nearest neighbours and their distance in Å.
Space group C2/m (No. 12)
Asymmetric unit:
1 Re 0.2321 0.0000 0.1737 [4 per cell]  3 P 2.40-2.46
2 Te 0.0000 0.0000 0.5000 [2 per cell]  6 Re 2.92-2.95, 2 Te 3.13
3 P 0.0000 0.5000 0.0000 [2 per cell]  6 Re 2.40-2.46

c.
Entry from Alexandria via LeMat-Bulk: a relaxed structure of Re2TeP (GGA-PBE).

## Properties
Theoretical density   11.58 Mg/m³
Total magnetic moment   0.000 Bohr magnetons per cell

Cell lengths 4.3980, 4.3980, 15.7414 Å; angles 90.00, 90.00, 90.00 degrees
Last column: nearest neighbours and their distance in Å.
Space group I-42d (No. 122)
Asymmetric unit:
1 Re 0.1749 0.2500 0.1250 [8 per cell]  2 P 2.38
2 Te 0.0000 0.0000 0.5000 [4 per cell]  4 Re 2.67
3 P 0.0000 0.0000 0.0000 [4 per cell]  4 Re 2.38

d.
Entry from Alexandria via LeMat-Bulk: a relaxed structure of Re2TeP (GGA-PBE).

## Properties
Theoretical density   9.99 Mg/m³
Total magnetic moment   0.000 Bohr magnetons per cell

Cell lengths 4.1314, 3.7647, 5.7212 Å; angles 90.00, 97.45, 90.00 degrees
Last column: nearest neighbours and their distance in Å.
Space group P2/m (No. 10)
Asymmetric unit:
1 Re 0.1982 0.0000 0.3680 [2 per cell]  2 P 2.33, 1 Re 2.37
2 Te 0.0000 0.5000 0.0000 [1 per cell]  4 Re 2.86
3 P 0.5000 0.5000 0.5000 [1 per cell]  4 Re 2.33

b is the most stable structure; the next one sits 8.3 kJ/mol of atoms above it.